An optimized crystal structure of K2V2ZnO6, computed with GGA+U.

Computed properties:
- DOS(E_F): 0.000 states/eV/atom
- Total moment: 0.1 μB per formula unit
- Symmetry: R-3m
- Energy: -6.067 eV/atom

abc: 5.918 5.918 6.653
angles: 63.59 63.59 60.00
Positions (direct):
O  0.738  0.241  0.779
O  0.241  0.241  0.779
O  0.262  0.759  0.221
O  0.241  0.738  0.779
O  0.759  0.262  0.221
O  0.759  0.759  0.221
Zn  0.000  0.000  0.000
K  0.785  0.785  0.644
K  0.215  0.215  0.356
V  0.423  0.423  0.730
V  0.577  0.577  0.270